Record 1
First-principles (PBE-GGA) data for a geometry-optimized TbGdSi2Pd4 structure, as listed in the Open Quantum Materials Database.

a = 7.100 Å, b = 5.479 Å, c = 5.479 Å
α = 41.99°, β = 90.00°, γ = 90.00°
Sites, in units of the cell vectors:
Pd (0.303, 0.853, 0.853)
Pd (0.697, 0.853, 0.853)
Pd (0.803, 0.147, 0.147)
Pd (0.197, 0.147, 0.147)
Si (0.500, 0.272, 0.272)
Si (0.000, 0.728, 0.728)
Gd (0.000, 0.445, 0.445)
Tb (0.500, 0.555, 0.555)

Values from the calculation:
VASP energy	-48.36	eV per cell
symmetry	Amm2, No. 38

Record 2
First-principles (PBE-GGA) data for a geometry-optimized GdSi2TcPd structure, as listed in the Open Quantum Materials Database.

a = 5.784 Å, b = 5.784 Å, c = 5.784 Å
α = 137.90°, β = 137.90°, γ = 61.06°
Sites, in units of the cell vectors:
Pd (0.250, 0.750, 0.500)
Si (0.623, 0.623, 0.000)
Si (0.377, 0.377, 0.000)
Tc (0.750, 0.250, 0.500)
Gd (0.000, 0.000, 0.000)

Values from the calculation:
VASP energy	-35.17	eV per cell
symmetry	I-4m2, No. 119

Record 3
First-principles (PBE-GGA) data for a geometry-optimized GdYSi2Pd4 structure, as listed in the Open Quantum Materials Database.

a = 7.113 Å, b = 5.468 Å, c = 5.468 Å
α = 41.89°, β = 90.00°, γ = 90.00°
Sites, in units of the cell vectors:
Pd (0.803, 0.147, 0.147)
Pd (0.197, 0.147, 0.147)
Pd (0.304, 0.853, 0.853)
Pd (0.696, 0.853, 0.853)
Si (0.000, 0.729, 0.729)
Si (0.500, 0.271, 0.271)
Y (0.500, 0.555, 0.555)
Gd (0.000, 0.445, 0.445)

Values from the calculation:
VASP energy	-50.22	eV per cell
symmetry	Amm2, No. 38

| no. | total moment (μB per formula unit) |
| --- | --- |
| 1 | 0.03 |
| 2 | 0.01 |
| 3 | 0.01 |